Record 1
VASP calculation (PBE-GGA) on a relaxed structure of TbPrNd4Se8.

The value obtained for the magnetization is 0.0 μB/f.u. For the density of states at the Fermi level, the calculation gives 8.991 states/eV/f.u. The raw total energy is -5.75 eV per atom. Its crystal system is trigonal. The calculation puts the formation energy (no corrections) at -1.7263 eV per atom.

The space group is R3m (No. 160, hexagonal axes) and the conventional cell measures 8.6749, 8.6749 and 21.2795 Å, with angles of 90.00, 90.00 and 120.00 degrees. Symmetry generates all atoms from Tb at (0.0000, 0.0000, 0.0000), Pr at (0.0000, 0.0000, 0.3734), Nd at (0.0000, 0.0000, 0.7496), Nd at (0.0033, 0.5016, 0.8752), Se at (0.0000, 0.0000, 0.1294), Se at (0.0000, 0.0000, 0.6165), Se at (0.0203, 0.5102, 0.1280) and Se at (0.1718, 0.3435, 0.9559).

***

Record 2
VASP calculation (PBE-GGA) on a relaxed structure of TaInCo2.

The energy relative to the elements is 0.046 eV/atom. The value obtained for the magnetization is 0.0 μB/f.u. For the density of states at the Fermi level, the calculation gives 2.147 states/eV/f.u. The raw total energy is -7.15 eV per atom. Its crystal system is orthorhombic.

The space group is Amm2 (No. 38) and the conventional cell measures 3.990, 3.224 and 9.389 Å, with angles of 90.00, 90.00 and 90.00 degrees. Symmetry generates all atoms from Ta at (0.000, 0.000, 0.000), In at (0.500, 0.000, 0.288), Co at (0.000, 0.000, 0.708) and Co at (0.500, 0.000, 0.559).

***

Record 3
VASP calculation (PBE-GGA) on a relaxed structure of KS2NCl.

The calculation puts the distance to the lowest polymorph of the same formula at 1330.0 meV/atom. The value obtained for the magnetization is 7.0 μB/f.u. For the density of states at the Fermi level, the calculation gives 4.264 states/eV/f.u. The raw total energy is -2.31 eV per atom. Its crystal system is tetragonal. The calculation puts the formation energy (no corrections) at 1.5986 eV per atom.

The space group is P4/mmm (No. 123) and the conventional cell measures 6.179, 6.179 and 5.519 Å, with angles of 90.00, 90.00 and 90.00 degrees. Symmetry generates all atoms from K at (0.000, 0.000, 0.000), S at (0.000, 0.500, 0.000), N at (0.000, 0.000, 0.500) and Cl at (0.500, 0.500, 0.500).

***

Record 4
VASP calculation (PBE-GGA) on a relaxed structure of LiFeC3.

The energy relative to the elements is 1.668 eV/atom. The calculation puts the distance to the lowest polymorph of the same formula at 0.0 meV/atom. The value obtained for the magnetization is 2.2 μB/f.u. For the density of states at the Fermi level, the calculation gives 2.532 states/eV/f.u. The raw total energy is -5.94 eV per atom. Its crystal system is cubic.

The space group is Pm-3m (No. 221) and the conventional cell measures 3.733, 3.733 and 3.733 Å, with angles of 90.00, 90.00 and 90.00 degrees. Symmetry generates all atoms from Li at (0.000, 0.000, 0.000), Fe at (0.500, 0.500, 0.500) and C at (0.000, 0.500, 0.500).

***

Record 5
VASP calculation (PBE-GGA) on a relaxed structure of Ba2Cd3Hg8.

The energy relative to the elements is -0.258 eV/atom. The value obtained for the magnetization is 0.0 μB/f.u. For the density of states at the Fermi level, the calculation gives 4.745 states/eV/f.u. The raw total energy is -0.95 eV per atom. Its crystal system is monoclinic.

The space group is C2/m (No. 12) and the conventional cell measures 18.109, 6.795 and 6.154 Å, with angles of 90.00, 100.16 and 90.00 degrees. Symmetry generates all atoms from Ba at (0.183, 0.000, 0.286), Cd at (0.000, 0.000, 0.500), Cd at (0.000, 0.223, 0.000), Hg at (0.070, 0.500, 0.351), Hg at (0.132, 0.255, 0.757) and Hg at (0.213, 0.500, 0.158).

***

Record 6
VASP calculation (PBE-GGA) on a relaxed structure of Pr5Sm2Th.

The energy relative to the elements is 0.033 eV/atom. The value obtained for the magnetization is 0.0 μB/f.u. For the density of states at the Fermi level, the calculation gives 11.368 states/eV/f.u. The raw total energy is -5.06 eV per atom. Its crystal system is orthorhombic.

The space group is Pbam (No. 55) and the conventional cell measures 7.336, 14.678 and 5.217 Å, with angles of 90.00, 90.00 and 90.00 degrees. Symmetry generates all atoms from Pr at (0.000, 0.000, 0.000), Pr at (0.005, 0.252, 0.000), Pr at (0.246, 0.378, 0.500), Sm at (0.240, 0.621, 0.500) and Th at (0.000, 0.500, 0.000).

***

Record 7
VASP calculation (PBE-GGA) on a relaxed structure of CsTlFeBr4.

The value obtained for the magnetization is 4.0 μB/f.u. For the density of states at the Fermi level, the calculation gives 6.648 states/eV/f.u. The raw total energy is -3.59 eV per atom. Its crystal system is monoclinic. The calculation puts the formation energy (no corrections) at -0.9623 eV per atom.

The space group is P2_1/m (No. 11) and the conventional cell measures 7.330, 7.739 and 10.120 Å, with angles of 90.00, 109.75 and 90.00 degrees. Symmetry generates all atoms from Cs at (0.203, 0.250, 0.418), Tl at (0.290, 0.250, 0.961), Fe at (0.299, 0.750, 0.200), Br at (0.091, 0.750, 0.345), Br at (0.111, 0.750, 0.950) and Br at (0.486, 0.501, 0.747).